Record 1
Compound: Ba2Ga2O
Source: Alexandria via LeMat-Bulk
Functional: PBE
Structure: relaxed

Summary:
calculated volume: 319 Å³/cell
DOS(E_F): 1.82 states/eV per cell
SG: P4/mbm (127)
ΔE_f (raw): -0.765 eV per atom
relative energy among the computed polymorphs: 71 meV per atom

POSCAR file:
```
Ba2Ga2O
1.0
7.359 0.000 0.000
0.000 7.359 0.000
0.000 0.000 5.891
Ba Ga O
4 4 2
Direct
0.796 0.704 0.000
0.704 0.204 0.000
0.296 0.796 0.000
0.204 0.296 0.000
0.882 0.382 0.500
0.118 0.618 0.500
0.618 0.882 0.500
0.382 0.118 0.500
0.500 0.500 0.000
0.000 0.000 0.000
```



Record 2
Compound: Ba5GaO6
Source: Alexandria via LeMat-Bulk
Functional: PBE
Structure: relaxed

Summary:
calculated volume: 253 Å³/cell
DOS(E_F): 3.36 states/eV per cell
SG: C2/m (12)
ΔE_f (raw): -2.115 eV per atom

POSCAR file:
```
Ba5GaO6
1.0
-4.770 0.577 4.682
0.565 -5.308 3.989
4.036 0.342 5.450
O Ba Ga
6 5 1
Direct
0.726 0.448 0.653
0.183 0.203 0.000
0.274 0.552 0.347
0.817 0.797 0.000
0.274 0.899 0.653
0.726 0.101 0.347
0.000 0.674 0.652
0.500 0.500 0.000
0.000 0.326 0.348
0.500 0.163 0.675
0.500 0.837 0.325
0.000 0.000 0.000
```



Record 3
Compound: Ba8Ga2O
Source: Alexandria via LeMat-Bulk
Functional: PBE
Structure: relaxed

Summary:
calculated volume: 494 Å³/cell
DOS(E_F): 12.02 states/eV per cell
SG: C2/m (12)
ΔE_f (raw): -0.422 eV per atom

POSCAR file:
```
Ba8Ga2O
1.0
5.925 0.000 0.000
0.000 7.307 -1.074
-2.962 -4.903 12.122
Ba Ga O
8 2 1
Direct
0.964 0.182 0.929
0.036 0.818 0.071
0.695 0.955 0.390
0.588 0.344 0.176
0.800 0.640 0.601
0.305 0.045 0.610
0.200 0.360 0.399
0.412 0.656 0.824
0.859 0.323 0.718
0.141 0.677 0.282
0.500 0.000 0.000
```



Record 4
Compound: Ba2GaO
Source: Alexandria via LeMat-Bulk
Functional: PBE
Structure: relaxed

Summary:
calculated volume: 280 Å³/cell
DOS(E_F): 3.90 states/eV per cell
SG: I-42d (122)
ΔE_f (raw): -1.215 eV per atom
relative energy among the computed polymorphs: 0 meV per atom

POSCAR file:
```
Ba2GaO
1.0
-6.845 3.224 -1.286
-3.283 -5.087 4.716
-4.364 2.018 5.384
Ba Ga O
4 2 2
Direct
0.875 0.779 0.750
0.221 0.625 0.250
0.529 0.125 0.250
0.375 0.471 0.750
0.000 0.000 0.000
0.750 0.250 0.500
0.500 0.500 0.000
0.250 0.750 0.500
```



Record 5
Compound: BaGa4O7
Source: Alexandria via LeMat-Bulk
Functional: PBE
Structure: relaxed

Summary:
calculated volume: 374 Å³/cell
DOS(E_F): 0.00 states/eV per cell
SG: C2/c (15)
ΔE_f (raw): -2.079 eV per atom
relative energy among the computed polymorphs: 0 meV per atom

POSCAR file:
```
BaGa4O7
1.0
-6.735 -0.054 -5.023
-3.653 -7.566 -0.077
-4.370 0.731 3.833
O Ga Ba
14 8 2
Direct
0.585 0.659 0.453
0.245 0.126 0.393
0.126 0.245 0.893
0.659 0.585 0.953
0.755 0.874 0.607
0.369 0.884 0.831
0.884 0.369 0.331
0.341 0.415 0.047
0.022 0.978 0.250
0.978 0.022 0.750
0.631 0.116 0.169
0.874 0.755 0.107
0.116 0.631 0.669
0.415 0.341 0.547
0.185 0.056 0.722
0.587 0.761 0.704
0.944 0.815 0.778
0.815 0.944 0.278
0.761 0.587 0.204
0.239 0.413 0.796
0.056 0.185 0.222
0.413 0.239 0.296
0.309 0.691 0.250
0.691 0.309 0.750
```



Record 6
Compound: Ba3GaO
Source: Alexandria via LeMat-Bulk
Functional: PBE
Structure: relaxed

Summary:
calculated volume: 362 Å³/cell
DOS(E_F): 5.24 states/eV per cell
SG: C2/m (12)
ΔE_f (raw): -1.055 eV per atom

POSCAR file:
```
Ba3GaO
1.0
-0.562 -3.981 0.474
8.319 1.179 2.483
-2.076 1.512 10.243
Ba Ga O
6 2 2
Direct
0.030 0.059 0.696
0.761 0.521 0.688
0.651 0.301 0.010
0.239 0.479 0.312
0.970 0.940 0.304
0.349 0.699 0.990
0.408 0.816 0.551
0.592 0.184 0.449
0.221 0.441 0.875
0.779 0.559 0.125
```



Record 7
Compound: Ba12Ga3O5
Source: Alexandria via LeMat-Bulk
Functional: PBE
Structure: relaxed

Summary:
calculated volume: 2826 Å³/cell
DOS(E_F): 38.19 states/eV per cell
SG: Ia-3d (230)
ΔE_f (raw): -1.291 eV per atom

POSCAR file:
```
Ba12Ga3O5
1.0
15.427 0.000 0.000
-5.142 14.545 0.000
-5.142 -7.272 12.596
Ba Ga O
48 12 20
Direct
0.316 0.516 0.400
0.100 0.184 0.484
0.083 0.184 0.200
0.900 0.816 0.516
0.384 0.400 0.083
0.917 0.816 0.800
0.600 0.616 0.417
0.417 0.300 0.316
0.684 0.200 0.583
0.884 0.300 0.484
0.484 0.684 0.100
0.700 0.583 0.184
0.316 0.800 0.417
0.300 0.884 0.984
0.583 0.884 0.400
0.800 0.484 0.384
0.184 0.100 0.984
0.917 0.100 0.616
0.184 0.083 0.700
0.417 0.116 0.600
0.684 0.484 0.600
0.616 0.600 0.917
0.016 0.616 0.700
0.884 0.583 0.900
0.384 0.984 0.800
0.700 0.116 0.016
0.800 0.316 0.917
0.400 0.016 0.316
0.984 0.384 0.300
0.516 0.316 0.900
0.083 0.900 0.384
0.484 0.800 0.884
0.016 0.400 0.816
0.816 0.917 0.300
0.300 0.417 0.816
0.200 0.516 0.616
0.616 0.016 0.200
0.600 0.984 0.684
0.116 0.417 0.100
0.200 0.684 0.083
0.116 0.700 0.516
0.816 0.900 0.016
0.400 0.384 0.583
0.583 0.700 0.684
0.100 0.917 0.116
0.984 0.600 0.184
0.516 0.200 0.116
0.900 0.083 0.884
0.750 0.375 0.125
0.625 0.250 0.375
0.125 0.250 0.875
0.375 0.625 0.250
0.375 0.750 0.625
0.875 0.750 0.125
0.750 0.875 0.625
0.250 0.125 0.375
0.250 0.625 0.875
0.625 0.375 0.750
0.875 0.125 0.250
0.125 0.875 0.750
0.125 0.750 0.375
0.750 0.625 0.375
0.250 0.375 0.625
0.875 0.250 0.625
0.125 0.375 0.250
0.625 0.875 0.250
0.500 0.500 0.000
0.500 0.000 0.500
0.875 0.625 0.750
0.250 0.875 0.125
0.000 0.000 0.000
0.625 0.750 0.875
0.000 0.500 0.500
0.000 0.500 0.000
0.750 0.125 0.875
0.375 0.125 0.750
0.000 0.000 0.500
0.500 0.500 0.500
0.500 0.000 0.000
0.375 0.250 0.125
```



Record 8
Compound: BaGa12O19
Source: Alexandria via LeMat-Bulk
Functional: PBE
Structure: relaxed

Summary:
calculated volume: 701 Å³/cell
DOS(E_F): 0.00 states/eV per cell
SG: P6_3mc (186)
ΔE_f (raw): -1.921 eV per atom

POSCAR file:
```
BaGa12O19
1.0
-3.179 -0.335 4.945
4.998 -3.073 -0.501
11.952 17.991 8.901
Ga O Ba
24 38 2
Direct
0.665 0.832 0.891
0.662 0.831 0.608
0.831 0.662 0.108
0.000 0.000 0.500
0.338 0.169 0.108
0.000 0.000 0.000
0.831 0.169 0.108
0.667 0.333 0.689
0.168 0.335 0.891
0.333 0.667 0.189
0.335 0.168 0.391
0.667 0.333 0.527
0.169 0.831 0.608
0.832 0.168 0.391
0.667 0.333 0.973
0.832 0.665 0.391
0.168 0.832 0.891
0.333 0.667 0.311
0.333 0.667 0.473
0.169 0.338 0.608
0.000 0.000 0.739
0.667 0.333 0.811
0.000 0.000 0.239
0.333 0.667 0.027
0.818 0.182 0.749
0.000 0.000 0.149
0.156 0.312 0.449
0.496 0.504 0.648
0.000 0.000 0.649
0.333 0.667 0.555
0.688 0.844 0.449
0.504 0.496 0.148
0.667 0.333 0.445
0.503 0.497 0.351
0.994 0.497 0.351
0.000 0.000 0.354
0.496 0.993 0.648
0.310 0.155 0.553
0.006 0.503 0.851
0.155 0.845 0.053
0.156 0.844 0.449
0.504 0.007 0.148
0.312 0.156 0.949
0.497 0.994 0.851
0.845 0.155 0.553
0.182 0.818 0.249
0.007 0.504 0.648
0.690 0.845 0.053
0.497 0.503 0.851
0.667 0.333 0.055
0.844 0.688 0.949
0.000 0.000 0.854
0.636 0.818 0.249
0.844 0.156 0.949
0.818 0.636 0.749
0.155 0.310 0.053
0.993 0.496 0.148
0.182 0.364 0.249
0.845 0.690 0.553
0.364 0.182 0.749
0.503 0.006 0.351
0.333 0.667 0.945
0.667 0.333 0.251
0.333 0.667 0.751
```



Record 9
Compound: Ba2GaO
Source: Alexandria via LeMat-Bulk
Functional: PBE
Structure: relaxed

Summary:
calculated volume: 128 Å³/cell
DOS(E_F): 2.53 states/eV per cell
SG: R-3m (166)
ΔE_f (raw): -0.955 eV per atom
relative energy among the computed polymorphs: 260 meV per atom

POSCAR file:
```
Ba2GaO
1.0
-2.178 -1.807 -2.657
-3.068 -2.104 1.110
-7.460 6.644 -1.239
Ga O Ba
1 1 2
Direct
0.000 0.000 0.000
0.500 0.500 0.500
0.886 0.886 0.343
0.114 0.114 0.657
```



Record 10
Compound: BaGa4O7
Source: Alexandria via LeMat-Bulk
Functional: PBE
Structure: relaxed

Summary:
calculated volume: 363 Å³/cell
DOS(E_F): 0.00 states/eV per cell
SG: Pmn2_1 (31)
ΔE_f (raw): -2.060 eV per atom
relative energy among the computed polymorphs: 19 meV per atom

POSCAR file:
```
BaGa4O7
1.0
5.090 0.000 0.000
0.000 5.346 0.000
0.000 0.000 13.330
O Ga Ba
14 8 2
Direct
0.944 0.735 0.127
0.439 0.852 0.771
0.444 0.265 0.373
0.502 0.339 0.130
0.002 0.661 0.630
0.444 0.265 0.627
0.939 0.148 0.271
0.467 0.809 0.000
0.502 0.339 0.870
0.002 0.661 0.370
0.939 0.148 0.729
0.439 0.852 0.229
0.944 0.735 0.873
0.967 0.191 0.500
0.086 0.326 0.618
0.071 0.817 0.251
0.071 0.817 0.749
0.586 0.674 0.882
0.571 0.183 0.249
0.571 0.183 0.751
0.586 0.674 0.118
0.086 0.326 0.382
0.104 0.162 0.000
0.604 0.838 0.500
```



Record 11
Compound: BaGa3O
Source: Alexandria via LeMat-Bulk
Functional: PBE
Structure: relaxed

Summary:
calculated volume: 235 Å³/cell
DOS(E_F): 4.62 states/eV per cell
SG: Pm-3m (221)
ΔE_f (raw): 1.329 eV per atom
relative energy among the computed polymorphs: 1608 meV per atom

POSCAR file:
```
BaGa3O
1.0
6.169 0.000 0.000
0.000 6.169 0.000
0.000 0.000 6.169
O Ga Ba
1 3 1
Direct
0.500 0.500 0.500
0.500 0.000 0.000
0.000 0.500 0.000
0.000 0.000 0.500
0.000 0.000 0.000
```



Record 12
Compound: Ba2Ga2O
Source: Alexandria via LeMat-Bulk
Functional: PBE
Structure: relaxed

Summary:
calculated volume: 126 Å³/cell
DOS(E_F): 2.42 states/eV per cell
SG: I4/mmm (139)
ΔE_f (raw): -0.836 eV per atom
relative energy among the computed polymorphs: 0 meV per atom

POSCAR file:
```
Ba2Ga2O
1.0
-1.059 -2.316 2.674
-1.304 -2.339 -2.542
7.061 -6.522 -0.304
Ba Ga O
2 2 1
Direct
0.587 0.587 0.826
0.413 0.413 0.174
0.750 0.250 0.500
0.250 0.750 0.500
0.000 0.000 0.000
```



Question: What is the ΔE_f (raw) in the second record?
Answer: -2.115 eV per atom



Question: Which formula does entry 4 have?
Answer: Ba2GaO